(1)
Compound: MnFeHg2
Source: Alexandria
Functional: PBE-GGA
Structure: optimized geometry

Output
- total magnetization (Bohr magnetons per cell) = 6.4
- distance to the lowest polymorph of the same formula (eV/f.u.) = 0.488

CIF file:
```
data_MnFeHg2
_chemical_formula_sum 'Mn1 Fe1 Hg2'
_cell_length_a 4.869
_cell_length_b 4.869
_cell_length_c 5.245
_cell_angle_alpha 100.62
_cell_angle_beta 100.62
_cell_angle_gamma 36.02
_symmetry_space_group_name_H-M 'P 1'
_symmetry_Int_Tables_number 1
_symmetry_space_group_name_Hall 'P 1'
loop_
_atom_site_label
_atom_site_type_symbol
_atom_site_fract_x
_atom_site_fract_y
_atom_site_fract_z
Mn1 Mn 0.000 0.000 0.000
Fe1 Fe 0.500 0.500 0.500
Hg1 Hg 0.248 0.248 0.746
Hg2 Hg 0.752 0.752 0.254
```

***

(2)
Compound: Tb3Sm2Er6
Source: Alexandria
Functional: PBE-GGA
Structure: optimized geometry

Output
- total magnetization (Bohr magnetons per cell) = 0.0
- distance to the lowest polymorph of the same formula (eV/f.u.) = 0.000

CIF file:
```
data_Tb3Sm2Er6
_chemical_formula_sum 'Tb3 Sm2 Er6'
_cell_length_a 6.089
_cell_length_b 6.089
_cell_length_c 11.611
_cell_angle_alpha 95.06
_cell_angle_beta 95.06
_cell_angle_gamma 120.09
_symmetry_space_group_name_H-M 'P 1'
_symmetry_Int_Tables_number 1
_symmetry_space_group_name_Hall 'P 1'
loop_
_atom_site_label
_atom_site_type_symbol
_atom_site_fract_x
_atom_site_fract_y
_atom_site_fract_z
Tb1 Tb 0.000 0.000 0.000
Tb2 Tb 0.335 0.665 0.000
Tb3 Tb 0.665 0.335 0.000
Sm1 Sm 0.166 0.834 0.500
Sm2 Sm 0.834 0.166 0.500
Er1 Er 0.083 0.416 0.249
Er2 Er 0.250 0.250 0.751
Er3 Er 0.416 0.083 0.249
Er4 Er 0.584 0.917 0.751
Er5 Er 0.750 0.750 0.249
Er6 Er 0.917 0.584 0.751
```

***

(3)
Compound: Pm4ScAs5
Source: Alexandria
Functional: PBE-GGA
Structure: optimized geometry

Output
- total magnetization (Bohr magnetons per cell) = 0.0
- electronic total energy (eV/atom) = -6.32

CIF file:
```
data_Pm4ScAs5
_chemical_formula_sum 'Pm4 Sc1 As5'
_cell_length_a 15.013
_cell_length_b 15.013
_cell_length_c 15.013
_cell_angle_alpha 163.96
_cell_angle_beta 163.96
_cell_angle_gamma 22.75
_symmetry_space_group_name_H-M 'P 1'
_symmetry_Int_Tables_number 1
_symmetry_space_group_name_Hall 'P 1'
loop_
_atom_site_label
_atom_site_type_symbol
_atom_site_fract_x
_atom_site_fract_y
_atom_site_fract_z
Pm1 Pm 0.098 0.098 0.000
Pm2 Pm 0.302 0.302 0.000
Pm3 Pm 0.698 0.698 0.000
Pm4 Pm 0.902 0.902 0.000
Sc1 Sc 0.500 0.500 0.000
As1 As 0.000 0.000 0.000
As2 As 0.200 0.200 0.000
As3 As 0.405 0.405 0.000
As4 As 0.595 0.595 0.000
As5 As 0.800 0.800 0.000
```

***

(4)
Compound: MnInPd3
Source: Alexandria
Functional: PBE-GGA
Structure: optimized geometry

Output
- total magnetization (Bohr magnetons per cell) = 8.6
- distance to the lowest polymorph of the same formula (eV/f.u.) = 0.000

CIF file:
```
data_MnInPd3
_chemical_formula_sum 'Mn2 In2 Pd6'
_cell_length_a 7.843
_cell_length_b 7.843
_cell_length_c 5.917
_cell_angle_alpha 100.86
_cell_angle_beta 100.86
_cell_angle_gamma 145.10
_symmetry_space_group_name_H-M 'P 1'
_symmetry_Int_Tables_number 1
_symmetry_space_group_name_Hall 'P 1'
loop_
_atom_site_label
_atom_site_type_symbol
_atom_site_fract_x
_atom_site_fract_y
_atom_site_fract_z
Mn1 Mn 0.106 0.894 0.750
Mn2 Mn 0.894 0.106 0.250
In1 In 0.102 0.898 0.250
In2 In 0.898 0.102 0.750
Pd1 Pd 0.302 0.698 0.750
Pd2 Pd 0.304 0.696 0.250
Pd3 Pd 0.500 0.500 0.250
Pd4 Pd 0.500 0.500 0.750
Pd5 Pd 0.696 0.304 0.750
Pd6 Pd 0.698 0.302 0.250
```

***

(5)
Compound: Zr2OsPt
Source: Alexandria
Functional: PBE-GGA
Structure: optimized geometry

Output
- total magnetization (Bohr magnetons per cell) = 0.0
- electronic total energy (eV/atom) = -9.29

CIF file:
```
data_Zr2OsPt
_chemical_formula_sum 'Zr2 Os1 Pt1'
_cell_length_a 3.230
_cell_length_b 3.230
_cell_length_c 7.031
_cell_angle_alpha 90.00
_cell_angle_beta 90.00
_cell_angle_gamma 90.00
_symmetry_space_group_name_H-M 'P 1'
_symmetry_Int_Tables_number 1
_symmetry_space_group_name_Hall 'P 1'
loop_
_atom_site_label
_atom_site_type_symbol
_atom_site_fract_x
_atom_site_fract_y
_atom_site_fract_z
Zr1 Zr 0.000 0.000 0.240
Zr2 Zr 0.000 0.000 0.760
Os1 Os 0.500 0.500 0.000
Pt1 Pt 0.500 0.500 0.500
```

***

(6)
Compound: SrCePm2Se4
Source: Alexandria
Functional: PBE-GGA
Structure: optimized geometry

Output
- total magnetization (Bohr magnetons per cell) = 1.1
- formation energy without anion corrections (kJ/mol of atoms) = -179.5

CIF file:
```
data_SrCePm2Se4
_chemical_formula_sum 'Sr1 Ce1 Pm2 Se4'
_cell_length_a 7.364
_cell_length_b 4.230
_cell_length_c 7.391
_cell_angle_alpha 90.00
_cell_angle_beta 109.19
_cell_angle_gamma 90.00
_symmetry_space_group_name_H-M 'P 1'
_symmetry_Int_Tables_number 1
_symmetry_space_group_name_Hall 'P 1'
loop_
_atom_site_label
_atom_site_type_symbol
_atom_site_fract_x
_atom_site_fract_y
_atom_site_fract_z
Sr1 Sr 0.000 0.000 0.000
Ce1 Ce 0.000 0.500 0.500
Pm1 Pm 0.500 0.000 0.500
Pm2 Pm 0.500 0.500 0.000
Se1 Se 0.253 0.000 0.748
Se2 Se 0.256 0.500 0.256
Se3 Se 0.744 0.500 0.744
Se4 Se 0.747 0.000 0.252
```

***

(7)
Compound: BeNi3P
Source: Alexandria
Functional: PBE-GGA
Structure: optimized geometry

Output
- total magnetization (Bohr magnetons per cell) = 0.0
- distance to the lowest polymorph of the same formula (eV/f.u.) = 0.532

CIF file:
```
data_BeNi3P
_chemical_formula_sum 'Be1 Ni3 P1'
_cell_length_a 3.865
_cell_length_b 3.865
_cell_length_c 3.865
_cell_angle_alpha 90.00
_cell_angle_beta 90.00
_cell_angle_gamma 90.00
_symmetry_space_group_name_H-M 'P 1'
_symmetry_Int_Tables_number 1
_symmetry_space_group_name_Hall 'P 1'
loop_
_atom_site_label
_atom_site_type_symbol
_atom_site_fract_x
_atom_site_fract_y
_atom_site_fract_z
Be1 Be 0.000 0.000 0.000
Ni1 Ni 0.000 0.000 0.500
Ni2 Ni 0.000 0.500 0.000
Ni3 Ni 0.500 0.000 0.000
P1 P 0.500 0.500 0.500
```

***

(8)
Compound: InSiNi
Source: Alexandria
Functional: PBE-GGA
Structure: optimized geometry

Output
- total magnetization (Bohr magnetons per cell) = 0.0
- formation energy without anion corrections (kJ/mol of atoms) = 2.9

CIF file:
```
data_InSiNi
_chemical_formula_sum 'In1 Si1 Ni1'
_cell_length_a 5.698
_cell_length_b 5.698
_cell_length_c 5.698
_cell_angle_alpha 148.85
_cell_angle_beta 148.85
_cell_angle_gamma 44.64
_symmetry_space_group_name_H-M 'P 1'
_symmetry_Int_Tables_number 1
_symmetry_space_group_name_Hall 'P 1'
loop_
_atom_site_label
_atom_site_type_symbol
_atom_site_fract_x
_atom_site_fract_y
_atom_site_fract_z
In1 In 0.000 0.000 0.000
Si1 Si 0.714 0.714 0.000
Ni1 Ni 0.310 0.310 0.000
```

***

The highest total magnetization belongs to which entry?
MnInPd3

***

Number 5 is which compound?
Zr2OsPt

***

What is the total magnetization in the fourth record?
8.6 Bohr magnetons per cell

***

Which formula does entry 4 have?
MnInPd3